1.
Material: TiCoRuAu2
Method: DFT, PBE-GGA
State: relaxed

Structure (CIF):
```
data_TiCoRuAu2
_chemical_formula_sum 'Ti1 Co1 Ru1 Au2'
_cell_length_a 4.9336
_cell_length_b 4.9336
_cell_length_c 4.3487
_cell_angle_alpha 90.00
_cell_angle_beta 90.00
_cell_angle_gamma 90.00
_space_group_name_H-M_alt 'P 4/m m m'
_space_group_IT_number 123
_space_group_name_Hall '-P 4 2'
loop_
_atom_site_label
_atom_site_type_symbol
_atom_site_fract_x
_atom_site_fract_y
_atom_site_fract_z
Ti1 Ti 0.0000 0.0000 0.0000
Co1 Co 0.5000 0.5000 0.5000
Ru1 Ru 0.0000 0.0000 0.5000
Au1 Au 0.0000 0.5000 0.0000
```

Properties
energy	-5.0036	eV/atom
magnetic moment	2.12	μB/f.u.

2.
Material: BaSr3Pd
Method: DFT, PBE-GGA
State: relaxed

Structure (CIF):
```
data_BaSr3Pd
_chemical_formula_sum 'Ba2 Sr6 Pd2'
_cell_length_a 7.2616
_cell_length_b 7.8349
_cell_length_c 8.0349
_cell_angle_alpha 90.00
_cell_angle_beta 91.48
_cell_angle_gamma 90.00
_space_group_name_H-M_alt 'P 1 21/m 1'
_space_group_IT_number 11
loop_
_space_group_symop_operation_xyz
'x,y,z'
'-x,-y,-z'
'-x,y+1/2,-z'
'x,-y+1/2,z'
loop_
_atom_site_label
_atom_site_type_symbol
_atom_site_fract_x
_atom_site_fract_y
_atom_site_fract_z
Ba1 Ba 0.0863 0.2500 0.3882
Sr1 Sr 0.0820 0.7500 0.1185
Sr2 Sr 0.4281 0.0004 0.7415
Pd1 Pd 0.3118 0.7500 0.4485
```

Properties
energy	-2.6951	eV/atom
magnetic moment	0.00	μB/f.u.

3.
Material: Al2CuAs
Method: DFT, PBE-GGA
State: relaxed

Structure (CIF):
```
data_Al2CuAs
_chemical_formula_sum 'Al2 Cu1 As1'
_cell_length_a 2.8907
_cell_length_b 3.9616
_cell_length_c 5.8211
_cell_angle_alpha 90.00
_cell_angle_beta 90.00
_cell_angle_gamma 90.00
_space_group_name_H-M_alt 'P m m 2'
_space_group_IT_number 25
loop_
_space_group_symop_operation_xyz
'x,y,z'
'-x,-y,z'
'-x,y,z'
'x,-y,z'
loop_
_atom_site_label
_atom_site_type_symbol
_atom_site_fract_x
_atom_site_fract_y
_atom_site_fract_z
Al1 Al 0.0000 0.0000 0.0000
Al2 Al 0.5000 0.5000 0.3058
Cu1 Cu 0.5000 0.5000 0.8818
As1 As 0.0000 0.0000 0.5070
```

Properties
energy	-4.0050	eV/atom
magnetic moment	0.00	μB/f.u.

4.
Material: VFeH2
Method: DFT, PBE-GGA
State: relaxed

Structure (CIF):
```
data_VFeH2
_chemical_formula_sum 'V3 Fe3 H6'
_cell_length_a 2.6824
_cell_length_b 2.6824
_cell_length_c 13.1207
_cell_angle_alpha 90.00
_cell_angle_beta 90.00
_cell_angle_gamma 120.00
_space_group_name_H-M_alt 'R -3 m'
_space_group_IT_number 166
_space_group_name_Hall '-R 3 2"'
loop_
_atom_site_label
_atom_site_type_symbol
_atom_site_fract_x
_atom_site_fract_y
_atom_site_fract_z
V1 V 0.0000 0.0000 0.0000
Fe1 Fe 0.0000 0.0000 0.5000
H1 H 0.0000 0.0000 0.2414
```

Properties
energy	-6.1911	eV/atom
magnetic moment	0.56	μB/f.u.

The highest magnetic moment belongs to which entry?
TiCoRuAu2

Number 3 is which compound?
Al2CuAs

Look up the energy of the fourth one.
-6.1911 eV/atom